Entry 1:
Below is a relaxed structure of AcNd2Ga, with properties calculated at the PBE level.

a = 4.981 Å, b = 4.981 Å, c = 5.006 Å
α = 90.00°, β = 90.00°, γ = 90.00°
Space group P4/mmm (No. 123)
One atom of each set of equivalent atoms:
Ac 0.000 0.000 0.000
Nd 0.000 0.500 0.500
Ga 0.500 0.500 0.000

Results
formation enthalpy at 0 K	-0.1682	eV per atom
distance to the lowest polymorph of the same formula	6.9	kJ per mole of atoms
mass density	7.8	Mg/m³

Entry 2:
Below is a relaxed structure of LiSi2P, with properties calculated at the PBE level.

a = 6.979 Å, b = 6.979 Å, c = 5.145 Å
α = 90.00°, β = 90.00°, γ = 90.00°
Space group I-42d (No. 122)
One atom of each set of equivalent atoms:
Li 0.000 0.000 0.000
Si 0.213 0.250 0.625
P 0.000 0.000 0.500

Results
raw total energy	-4.483	eV/atom
mass density	2.5	Mg/m³

Entry 3:
Below is a relaxed structure of BOF2, with properties calculated at the PBE level.

a = 5.366 Å, b = 5.366 Å, c = 5.366 Å
α = 90.00°, β = 90.00°, γ = 90.00°
Space group Fm-3m (No. 225)
One atom of each set of equivalent atoms:
B 0.000 0.000 0.000
O 0.000 0.000 0.500
F 0.250 0.250 0.250

Results
distance to the lowest polymorph of the same formula	152.9	kJ per mole of atoms
mass density	2.8	Mg/m³

Entry 4:
Below is a relaxed structure of SmPuIr, with properties calculated at the PBE level.

a = 3.595 Å, b = 3.595 Å, c = 11.301 Å
α = 90.00°, β = 90.00°, γ = 90.00°
Space group I4mm (No. 107)
One atom of each set of equivalent atoms:
Sm 0.000 0.000 0.000
Pu 0.000 0.000 0.720
Ir 0.000 0.000 0.344

Results
formation enthalpy at 0 K	-0.3170	eV per atom
distance to the lowest polymorph of the same formula	19.2	kJ per mole of atoms
mass density	13.3	Mg/m³